No. 1
A plane-wave DFT calculation with PBE-GGA was carried out for crystalline BaBr at its relaxed geometry.

Cell: 6.931 6.931 9.718 Å, 90.00 90.00 120.00°
Each line ends with the local moment (μB).
Fractional positions:
Ba 0.000 0.000 0.250  0.16
Ba 0.000 0.000 0.750  0.16
Ba 0.333 0.667 0.750  0.18
Ba 0.667 0.333 0.250  0.18
Br 0.333 0.667 0.071  0.01
Br 0.667 0.333 0.571  0.01
Br 0.667 0.333 0.929  0.01
Br 0.333 0.667 0.429  0.01

The value obtained for the formation energy from raw total energies is -914 meV/atom. As for the symmetry: No. 194. The density comes out at 3.569 g/cm³. Its total magnetization is 2.06 μB/cell.

***

No. 2
A plane-wave DFT calculation with PBE-GGA was carried out for crystalline SmHgBi at its relaxed geometry.

Cell: 6.937 6.935 8.271 Å, 90.44 90.00 90.00°
Fractional positions:
Sm 0.501 0.248 0.734
Sm 0.001 0.252 0.266
Sm 0.499 0.752 0.266
Sm 0.999 0.748 0.734
Bi 0.750 0.500 0.001
Bi 0.750 0.000 0.001
Bi 0.250 0.500 0.999
Bi 0.250 0.000 0.999
Hg 0.246 0.000 0.501
Hg 0.254 0.500 0.501
Hg 0.754 0.000 0.499
Hg 0.746 0.500 0.499

As for the polymorph energy (0 for the lowest one): 0.155 eV/atom. For the formation energy, the calculation gives -34 kJ per mole of atoms. As for the symmetry: No. 14. The density comes out at 9.348 g/cm³. Its total magnetization is 0.00 μB/cell.

***

No. 3
A plane-wave DFT calculation with PBE-GGA was carried out for crystalline LiYMo2 at its relaxed geometry.

Cell: 3.295 3.295 6.948 Å, 90.00 90.00 90.00°
Fractional positions:
Li 0.500 0.500 0.797
Mo 0.000 0.000 0.016
Mo 0.500 0.500 0.200
Y 0.000 0.000 0.487

As for the polymorph energy (0 for the lowest one): 0.000 eV/atom. For the formation energy, the calculation gives 25 kJ per mole of atoms. As for the symmetry: No. 99. The density comes out at 6.334 g/cm³. Its total magnetization is 0.00 μB/cell.

***

No. 4
A plane-wave DFT calculation with PBE-GGA was carried out for crystalline KBe2Rh2 at its relaxed geometry.

Cell: 7.398 7.398 2.740 Å, 90.00 90.00 90.00°
Fractional positions:
Be 0.127 0.627 0.500
Be 0.627 0.873 0.500
Be 0.873 0.373 0.500
Be 0.373 0.127 0.500
K 0.000 0.000 0.000
K 0.500 0.500 0.000
Rh 0.366 0.866 0.000
Rh 0.866 0.634 0.000
Rh 0.634 0.134 0.000
Rh 0.134 0.366 0.000

As for the polymorph energy (0 for the lowest one): 0.000 eV/atom. For the formation energy, the calculation gives 13 kJ per mole of atoms. As for the symmetry: No. 127. The density comes out at 5.823 g/cm³. Its total magnetization is 0.00 μB/cell.

***

No. 5
A plane-wave DFT calculation with PBE-GGA was carried out for crystalline Nb6AlH at its relaxed geometry.

Cell: 4.784 5.381 5.436 Å, 84.12 91.34 68.14°
Fractional positions:
Nb 0.068 0.353 0.787
Nb 0.787 0.918 0.641
Nb 0.617 0.227 0.074
Nb 0.213 0.082 0.359
Nb 0.932 0.647 0.213
Nb 0.383 0.773 0.926
Al 0.500 0.500 0.500
H 0.000 0.000 0.000

As for the total energy: -8.509 eV per atom. As for the symmetry: No. 2. The density comes out at 7.542 g/cm³. Its total magnetization is 0.00 μB/cell.

***

No. 6
A plane-wave DFT calculation with PBE-GGA was carried out for crystalline CaZnRu4 at its relaxed geometry.

Cell: 5.225 5.225 5.225 Å, 60.00 60.00 60.00°
Each line ends with the local moment (μB).
Fractional positions:
Ca 0.000 0.000 0.000  -0.01
Zn 0.750 0.750 0.750  -0.02
Ru 0.873 0.376 0.376  0.58
Ru 0.376 0.376 0.873  0.58
Ru 0.376 0.873 0.376  0.58
Ru 0.376 0.376 0.376  0.58

For the formation energy, the calculation gives 28 kJ per mole of atoms. As for the symmetry: No. 216. The density comes out at 8.392 g/cm³. Its total magnetization is 2.36 μB/cell.

***

No. 7
A plane-wave DFT calculation with PBE-GGA was carried out for crystalline LaBe2Zn at its relaxed geometry.

Cell: 4.598 4.598 4.598 Å, 60.00 60.00 60.00°
Fractional positions:
Be 0.250 0.250 0.250
Be 0.750 0.750 0.750
Zn 0.000 0.000 0.000
La 0.500 0.500 0.500

As for the polymorph energy (0 for the lowest one): 0.232 eV/atom. For the formation energy, the calculation gives 17 kJ per mole of atoms. As for the symmetry: No. 225. The density comes out at 5.373 g/cm³. Its total magnetization is 0.00 μB/cell.

***

No. 8
A plane-wave DFT calculation with PBE-GGA was carried out for crystalline AsOsAu at its relaxed geometry.

Cell: 8.171 7.941 2.838 Å, 84.46 75.31 20.22°
Fractional positions:
Os 0.655 0.655 0.345
As 0.031 0.031 0.969
Au 0.314 0.314 0.686

As for the polymorph energy (0 for the lowest one): 0.184 eV/atom. For the formation energy, the calculation gives 49 kJ per mole of atoms. As for the symmetry: No. 42. The density comes out at 13.753 g/cm³. Its total magnetization is 0.00 μB/cell.

***

No. 9
A plane-wave DFT calculation with PBE-GGA was carried out for crystalline PS at its relaxed geometry.

Cell: 3.934 9.903 5.973 Å, 90.00 105.49 90.00°
Fractional positions:
P 0.755 0.000 0.351
P 0.245 0.000 0.649
P 0.755 0.500 0.851
P 0.245 0.500 0.149
S 0.500 0.158 0.500
S 0.500 0.842 0.500
S 0.500 0.658 0.000
S 0.500 0.342 0.000

As for the polymorph energy (0 for the lowest one): 0.128 eV/atom. The value obtained for the formation energy from raw total energies is -9 meV/atom. As for the symmetry: No. 12. The density comes out at 1.867 g/cm³. Its total magnetization is 0.00 μB/cell.

***

No. 10
A plane-wave DFT calculation with PBE-GGA was carried out for crystalline CoOsRu at its relaxed geometry.

Cell: 4.559 4.559 4.559 Å, 145.79 132.13 60.15°
Each line ends with the local moment (μB).
Fractional positions:
Co 0.999 0.999 0.000  0.95
Os 0.335 0.335 0.000  -0.04
Ru 0.666 0.666 0.000  0.03

As for the polymorph energy (0 for the lowest one): 0.063 eV/atom. For the formation energy, the calculation gives 11 kJ per mole of atoms. As for the symmetry: No. 44. The density comes out at 14.861 g/cm³. Its total magnetization is 0.92 μB/cell.

***

No. 11
A plane-wave DFT calculation with PBE-GGA was carried out for crystalline NaIn6Ga6 at its relaxed geometry.

Cell: 5.362 8.059 8.059 Å, 85.84 70.57 70.57°
Fractional positions:
Na 0.000 0.000 0.000
In 0.347 0.653 0.653
In 0.653 0.347 0.347
In 0.000 0.351 0.649
In 0.000 0.649 0.351
In 0.318 0.182 0.182
In 0.682 0.818 0.818
Ga 0.000 0.500 0.000
Ga 0.500 0.500 0.000
Ga 0.000 0.000 0.500
Ga 0.500 0.000 0.500
Ga 0.500 0.784 0.216
Ga 0.500 0.216 0.784

For the formation energy, the calculation gives 0 kJ per mole of atoms. As for the symmetry: No. 71. The density comes out at 6.066 g/cm³. Its total magnetization is 0.00 μB/cell.

***

No. 12
A plane-wave DFT calculation with PBE-GGA was carried out for crystalline Cs2BaSbH at its relaxed geometry.

Cell: 5.603 5.603 6.108 Å, 90.00 90.00 90.00°
Fractional positions:
Cs 0.000 0.500 0.000
Cs 0.500 0.000 0.000
Sb 0.500 0.500 0.500
Ba 0.000 0.000 0.500
H 0.000 0.000 0.000

As for the total energy: -2.623 eV per atom. As for the symmetry: No. 123. The density comes out at 4.555 g/cm³. Its total magnetization is 0.00 μB/cell.

***

No. 13
A plane-wave DFT calculation with PBE-GGA was carried out for crystalline DyZnPdRu at its relaxed geometry.

Cell: 4.595 4.595 4.595 Å, 60.00 60.00 60.00°
Fractional positions:
Ru 0.750 0.750 0.750
Zn 0.000 0.000 0.000
Pd 0.250 0.250 0.250
Dy 0.500 0.500 0.500

For the formation energy, the calculation gives -38 kJ per mole of atoms. As for the symmetry: No. 216. The density comes out at 10.540 g/cm³. Its total magnetization is 0.00 μB/cell.